Entry from Alexandria: an optimized crystal structure of SnMoIO2 (PBE with a Hubbard U).

Unit cell a=4.1333 b=4.1333 c=6.4538 alpha=90.00 beta=90.00 gamma=90.00
Atoms (fractional coordinates):
Sn1 0.0000 0.0000 0.0000
I1 0.0000 0.0000 0.5000
Mo1 0.5000 0.5000 0.5000
O1 0.5000 0.0000 0.0000
O2 0.0000 0.5000 0.0000

* total moment: 4.74 Bohr magnetons per cell
* excess energy over the best structure of this formula in the dataset: 189 meV/atom